No. 1
Here is a relaxed HfZnIn crystal from Alexandria. Energies are from PBE.

Unit cell a=4.4466 b=4.4466 c=7.9914 alpha=73.85 beta=73.85 gamma=60.00
Closest atoms and distances in Å follow each position.
Fractional positions:
In  0.8733  0.8733  0.3800  3 Zn 2.74
In  0.1267  0.1267  0.6200  3 Zn 2.74
Zn  0.4175  0.4175  0.7476  4 Hf 2.73-2.88, 3 In 2.74
Zn  0.5825  0.5825  0.2524  4 Hf 2.73-2.88, 3 In 2.74
Hf  0.7094  0.7094  0.8717  4 Zn 2.73-2.88
Hf  0.2906  0.2906  0.1283  4 Zn 2.73-2.88

Values from the calculation:
Energy of formation from the pure elements in eV/atom: 0.1488
Total magnetization in μB per formula unit: 0.00
Calculated total energy in eV for the cell shown: -27.04



No. 2
Here is a relaxed HfZnIn2 crystal from Alexandria. Energies are from PBE.

Unit cell a=3.2115 b=3.2115 c=10.6471 alpha=81.33 beta=81.33 gamma=60.00
Closest atoms and distances in Å follow each position.
Fractional positions:
In  0.0938  0.0938  0.7187  3 Zn 2.95, 1 Hf 2.95, 6 In 3.21
In  0.9062  0.9062  0.2813  3 Zn 2.95, 1 Hf 2.95, 6 In 3.21
Hf  0.0000  0.0000  0.0000  2 In 2.95, 6 Hf 3.21
Zn  0.5000  0.5000  0.5000  6 In 2.95, 6 Zn 3.21

Values from the calculation:
Energy of formation from the pure elements in eV/atom: 0.2967
Total magnetization in μB per formula unit: 0.00
Calculated total energy in eV for the cell shown: -15.52



No. 3
Here is a relaxed Hf2Zn3In2 crystal from Alexandria. Energies are from PBE.

Unit cell a=7.1791 b=7.1791 c=7.1791 alpha=109.47 beta=109.47 gamma=109.47
Closest atoms and distances in Å follow each position.
Fractional positions:
Hf  0.5335  0.0335  0.0335  6 Zn 2.79-2.89, 1 In 2.87
Hf  0.9665  0.5000  0.0000  6 Zn 2.79-2.89, 1 In 2.87
Hf  0.5000  0.4665  0.5000  6 Zn 2.79-2.89, 1 In 2.87
Hf  0.0000  0.0000  0.4665  6 Zn 2.79-2.89, 1 In 2.87
In  0.0000  0.0000  0.8667  3 Zn 2.72, 1 Hf 2.87
In  0.3667  0.5000  0.0000  3 Zn 2.72, 1 Hf 2.87
In  0.5000  0.8667  0.5000  3 Zn 2.72, 1 Hf 2.87
In  0.1333  0.6333  0.6333  3 Zn 2.72, 1 Hf 2.87
Zn  0.2500  0.9911  0.2411  2 In 2.72, 4 Hf 2.79-2.89, 4 Zn 2.98
Zn  0.7411  0.7500  0.9911  2 In 2.72, 4 Hf 2.79-2.89, 4 Zn 2.98
Zn  0.0089  0.2589  0.2500  2 In 2.72, 4 Hf 2.79-2.89, 4 Zn 2.98
Zn  0.4911  0.2411  0.7500  2 In 2.72, 4 Hf 2.79-2.89, 4 Zn 2.98
Zn  0.7589  0.2500  0.5089  2 In 2.72, 4 Hf 2.79-2.89, 4 Zn 2.98
Zn  0.7500  0.5089  0.2589  2 In 2.72, 4 Hf 2.79-2.89, 4 Zn 2.98

Values from the calculation:
Energy of formation from the pure elements in eV/atom: 0.1455
Total magnetization in μB per formula unit: 0.00
Calculated total energy in eV for the cell shown: -56.37



No. 4
Here is a relaxed Hf7Zn2In2 crystal from Alexandria. Energies are from PBE.

Unit cell a=6.8125 b=5.2985 c=6.8125 alpha=83.67 beta=103.34 gamma=96.33
Closest atoms and distances in Å follow each position.
Fractional positions:
Hf  0.9079  0.7516  0.4261  3 Hf 2.82-3.04, 3 Zn 2.85-3.09, 1 In 2.99
Hf  0.5739  0.7516  0.0921  3 Hf 2.82-3.04, 3 Zn 2.85-3.09, 1 In 2.99
Hf  0.0921  0.2484  0.5739  3 Hf 2.82-3.04, 3 Zn 2.85-3.09, 1 In 2.99
Hf  0.0000  0.0000  0.0000  2 Zn 2.73
Hf  0.4446  0.7332  0.5554  1 Zn 2.62, 2 Hf 2.89-2.91
Hf  0.4261  0.2484  0.9079  3 Hf 2.82-3.04, 3 Zn 2.85-3.09, 1 In 2.99
Hf  0.5554  0.2668  0.4446  1 Zn 2.62, 2 Hf 2.89-2.91
In  0.1877  0.5000  0.1877  2 Zn 2.78, 6 Hf 2.99-3.09
In  0.8123  0.5000  0.8123  2 Zn 2.78, 6 Hf 2.99-3.09
Zn  0.8014  0.2736  0.1986  4 Hf 2.62-2.85, 2 In 2.78
Zn  0.1986  0.7264  0.8014  4 Hf 2.62-2.85, 2 In 2.78

Values from the calculation:
Energy of formation from the pure elements in eV/atom: 0.1482
Total magnetization in μB per formula unit: 0.00
Calculated total energy in eV for the cell shown: -76.07



No. 5
Here is a relaxed Hf4Zn3In crystal from Alexandria. Energies are from PBE.

Unit cell a=3.2747 b=4.8502 c=9.6017 alpha=90.00 beta=90.00 gamma=90.00
Closest atoms and distances in Å follow each position.
Fractional positions:
In  0.5000  0.5000  0.0000  8 Hf 2.93-3.01, 2 In 3.27
Zn  0.5000  0.0000  0.2529  8 Hf 2.88-2.93
Zn  0.5000  0.5000  0.5000  8 Hf 2.80-2.93
Zn  0.5000  0.0000  0.7471  8 Hf 2.88-2.93
Hf  0.0000  0.5000  0.7368  6 Zn 2.80-2.93, 2 In 3.01
Hf  0.0000  0.5000  0.2632  6 Zn 2.80-2.93, 2 In 3.01
Hf  0.0000  0.0000  0.5000  8 Zn 2.88-2.93
Hf  0.0000  0.0000  0.0000  4 In 2.93, 4 Zn 2.93, 2 Hf 3.27

Values from the calculation:
Energy of formation from the pure elements in eV/atom: -0.1166
Total magnetization in μB per formula unit: 0.00
Calculated total energy in eV for the cell shown: -47.31



No. 6
Here is a relaxed HfZn2In2 crystal from Alexandria. Energies are from PBE.

Unit cell a=7.9454 b=7.9454 c=3.2212 alpha=90.00 beta=90.00 gamma=90.00
Closest atoms and distances in Å follow each position.
Fractional positions:
Hf  0.0000  0.0000  0.0000  4 In 3.09, 2 Hf 3.22, 8 Zn 3.37
Hf  0.5000  0.5000  0.0000  4 In 3.09, 2 Hf 3.22, 8 Zn 3.37
In  0.6357  0.1357  0.0000  6 Zn 2.75-2.89, 1 In 3.05
In  0.3643  0.8643  0.0000  6 Zn 2.75-2.89, 1 In 3.05
In  0.1357  0.3643  0.0000  6 Zn 2.75-2.89, 1 In 3.05
In  0.8643  0.6357  0.0000  6 Zn 2.75-2.89, 1 In 3.05
Zn  0.1656  0.6656  0.5000  6 In 2.75-2.89
Zn  0.8344  0.3344  0.5000  6 In 2.75-2.89
Zn  0.6656  0.8344  0.5000  6 In 2.75-2.89
Zn  0.3344  0.1656  0.5000  6 In 2.75-2.89

Values from the calculation:
Energy of formation from the pure elements in eV/atom: 0.1602
Total magnetization in μB per formula unit: 0.00
Energy above the most stable polymorph in this dataset in meV/atom: 113
Calculated total energy in eV for the cell shown: -34.35



Question: Which of these has the lowest calculated total energy?
Answer: Hf7Zn2In2